## TlVIF2 (GGA+U)

Data for a geometry-optimized TlVIF2 structure.

Values from the calculation:
- Calculated volume: 116.62 Å³ per cell
- Size of the total moment: 3.0 μB/f.u.
- Calculated total energy: -4.56 eV per atom

Cell: 4.491 4.491 5.783 Å, 90.00 90.00 90.00°
Sites, in units of the cell vectors:
1 Tl 0.000 0.000 0.000
2 V 0.500 0.500 0.500
3 I 0.500 0.500 0.000
4 F 0.000 0.500 0.500
5 F 0.500 0.000 0.500

***

## Tl2WI4F2 (GGA+U)

Data for a geometry-optimized Tl2WI4F2 structure.

Values from the calculation:
- Calculated volume: 344.53 Å³ per cell
- Size of the total moment: 2.0 μB/f.u.
- Calculated total energy: -3.51 eV per atom

Cell: 7.264 7.264 7.049 Å, 97.63 97.63 69.85°
Sites, in units of the cell vectors:
1 Tl 0.152 0.152 0.376
2 Tl 0.848 0.848 0.624
3 W 0.500 0.500 0.500
4 I 0.152 0.633 0.249
5 I 0.367 0.848 0.751
6 I 0.633 0.152 0.249
7 I 0.848 0.367 0.751
8 F 0.365 0.365 0.631
9 F 0.635 0.635 0.369